Entry 1:
Compound: MgPPt
Source: Alexandria
Functional: meta-GGA SCAN
Structure: PBEsol geometry

Values from the calculation:
**SG**: I4mm
**Volume**: 93 Å³/cell
**E**: -28.918 eV/atom
**Formation enthalpy at 0 K**: -397 meV per atom

Cell lengths 3.5014, 3.5014, 7.6058 Å; angles 90.00, 90.00, 90.00 degrees
Fractional coordinates of all 6 atoms:
1 Mg 0.0000 0.0000 0.0000
2 Mg 0.5000 0.5000 0.5000
3 P 0.0000 0.0000 0.3338
4 P 0.5000 0.5000 0.8338
5 Pt 0.0000 0.0000 0.6499
6 Pt 0.5000 0.5000 0.1499

=====

Entry 2:
Compound: SiAsPbSe2
Source: Alexandria
Functional: meta-GGA SCAN
Structure: PBEsol geometry

Values from the calculation:
**E_form (uncorrected)**: 1.17 eV/atom
**SG**: P4/mmm
**Volume**: 147 Å³/cell
**E**: -28.060 eV/atom

Cell lengths 5.2932, 5.2932, 5.2644 Å; angles 90.00, 90.00, 90.00 degrees
Fractional coordinates of all 5 atoms:
1 Si 0.0000 0.0000 0.0000
2 As 0.5000 0.5000 0.0000
3 Pb 0.5000 0.5000 0.5000
4 Se 0.0000 0.5000 0.5000
5 Se 0.5000 0.0000 0.5000

=====

Entry 3:
Compound: CuOsW
Source: Alexandria
Functional: meta-GGA SCAN
Structure: PBEsol geometry

Values from the calculation:
**SG**: Imm2
**Volume**: 83 Å³/cell
**E**: -52.108 eV/atom
**Formation enthalpy at 0 K**: 148 meV per atom

Cell lengths 2.7478, 3.7951, 7.9367 Å; angles 90.00, 90.00, 90.00 degrees
Fractional coordinates of all 6 atoms:
1 Cu 0.0000 0.0000 0.0000
2 Cu 0.5000 0.5000 0.5000
3 Os 0.0000 0.0000 0.6635
4 Os 0.5000 0.5000 0.1635
5 W 0.0000 0.0000 0.3309
6 W 0.5000 0.5000 0.8309

=====

Entry 4:
Compound: KCoAsSe2
Source: Alexandria
Functional: meta-GGA SCAN
Structure: PBEsol geometry

Values from the calculation:
**E_form (uncorrected)**: -0.16 eV/atom
**SG**: P4/mmm
**Volume**: 108 Å³/cell
**E**: -17.352 eV/atom

Cell lengths 4.9845, 4.9845, 4.3518 Å; angles 90.00, 90.00, 90.00 degrees
Fractional coordinates of all 5 atoms:
1 K 0.0000 0.0000 0.0000
2 Co 0.5000 0.5000 0.5000
3 As 0.5000 0.5000 0.0000
4 Se 0.0000 0.5000 0.5000
5 Se 0.5000 0.0000 0.5000

=====

Entry 5:
Compound: MoS2
Source: Alexandria
Functional: meta-GGA SCAN
Structure: PBEsol geometry

Values from the calculation:
**E_form (uncorrected)**: -0.94 eV/atom
**SG**: P6_3/mmc
**Volume**: 106 Å³/cell
**E**: -18.984 eV/atom

Cell lengths 3.1376, 3.1376, 12.4475 Å; angles 90.00, 90.00, 120.00 degrees
Fractional coordinates of all 6 atoms:
1 Mo 0.3333 0.6667 0.2500
2 Mo 0.6667 0.3333 0.7500
3 S 0.3333 0.6667 0.6248
4 S 0.3333 0.6667 0.8752
5 S 0.6667 0.3333 0.1248
6 S 0.6667 0.3333 0.3752

=====

Entry 6:
Compound: HfI3Br
Source: Alexandria
Functional: meta-GGA SCAN
Structure: PBEsol geometry

Values from the calculation:
**E_form (uncorrected)**: -0.47 eV/atom
**SG**: Pm-3m
**Volume**: 170 Å³/cell
**E**: -38.937 eV/atom

Cell lengths 5.5361, 5.5361, 5.5361 Å; angles 90.00, 90.00, 90.00 degrees
Fractional coordinates of all 5 atoms:
1 Hf 0.0000 0.0000 0.0000
2 I 0.0000 0.0000 0.5000
3 I 0.0000 0.5000 0.0000
4 I 0.5000 0.0000 0.0000
5 Br 0.5000 0.5000 0.5000

=====

Entry 7:
Compound: NbV3Fe2P6O24
Source: Alexandria
Functional: meta-GGA SCAN
Structure: PBEsol geometry

Values from the calculation:
**E_form (uncorrected)**: -2.43 eV/atom
**SG**: R3
**Volume**: 436 Å³/cell
**E**: -11.698 eV/atom

Cell lengths 8.3930, 8.3930, 8.3930 Å; angles 61.95, 61.95, 61.95 degrees
Fractional coordinates of all 36 atoms:
1 Nb 0.0000 0.0000 0.0000
2 V 0.2222 0.2222 0.2222
3 V 0.5002 0.5002 0.5002
4 V 0.7222 0.7222 0.7222
5 Fe 0.3631 0.3631 0.3631
6 Fe 0.8651 0.8651 0.8651
7 P 0.1113 0.4111 0.8203
8 P 0.3313 0.9015 0.6018
9 P 0.4111 0.8203 0.1113
10 P 0.6018 0.3313 0.9015
11 P 0.8203 0.1113 0.4111
12 P 0.9015 0.6018 0.3313
13 O 0.0385 0.2508 0.8640
14 O 0.1014 0.4486 0.3113
15 O 0.1290 0.9194 0.7614
16 O 0.1786 0.3649 0.9805
17 O 0.2508 0.8640 0.0385
18 O 0.2677 0.4196 0.6224
19 O 0.3113 0.1014 0.4486
20 O 0.3649 0.9805 0.1786
21 O 0.3673 0.7430 0.5376
22 O 0.4196 0.6224 0.2677
23 O 0.4486 0.3113 0.1014
24 O 0.4828 0.8615 0.6783
25 O 0.5376 0.3673 0.7430
26 O 0.6072 0.8050 0.9529
27 O 0.6224 0.2677 0.4196
28 O 0.6783 0.4828 0.8615
29 O 0.7430 0.5376 0.3673
30 O 0.7614 0.1290 0.9194
31 O 0.8050 0.9529 0.6072
32 O 0.8615 0.6783 0.4828
33 O 0.8640 0.0385 0.2508
34 O 0.9194 0.7614 0.1290
35 O 0.9529 0.6072 0.8050
36 O 0.9805 0.1786 0.3649

=====

Entry 8:
Compound: RbReS3
Source: Alexandria
Functional: meta-GGA SCAN
Structure: PBEsol geometry

Values from the calculation:
**E_form (uncorrected)**: 2.40 eV/atom
**SG**: Pm-3m
**Volume**: 139 Å³/cell
**E**: -21.741 eV/atom

Cell lengths 5.1841, 5.1841, 5.1841 Å; angles 90.00, 90.00, 90.00 degrees
Fractional coordinates of all 5 atoms:
1 Rb 0.0000 0.0000 0.0000
2 Re 0.5000 0.5000 0.5000
3 S 0.0000 0.0000 0.5000
4 S 0.0000 0.5000 0.0000
5 S 0.5000 0.0000 0.0000

=====

Entry 9:
Compound: MoPdBr2
Source: Alexandria
Functional: meta-GGA SCAN
Structure: PBEsol geometry

Values from the calculation:
**E_form (uncorrected)**: 0.29 eV/atom
**SG**: R-3m
**Volume**: 226 Å³/cell
**E**: -26.350 eV/atom

Cell lengths 3.1921, 3.1921, 25.6476 Å; angles 90.00, 90.00, 120.00 degrees
Fractional coordinates of all 12 atoms:
1 Mo 0.0000 0.0000 0.0000
2 Mo 0.3333 0.6667 0.6667
3 Mo 0.6667 0.3333 0.3333
4 Pd 0.0000 0.0000 0.5000
5 Pd 0.3333 0.6667 0.1667
6 Pd 0.6667 0.3333 0.8333
7 Br 0.0000 0.0000 0.4043
8 Br 0.0000 0.0000 0.5957
9 Br 0.3333 0.6667 0.0709
10 Br 0.3333 0.6667 0.2624
11 Br 0.6667 0.3333 0.7376
12 Br 0.6667 0.3333 0.9291

=====

Entry 10:
Compound: La3AsAu
Source: Alexandria
Functional: meta-GGA SCAN
Structure: PBEsol geometry

Values from the calculation:
**SG**: Pm-3m
**Volume**: 174 Å³/cell
**E**: -44.202 eV/atom
**Formation enthalpy at 0 K**: -469 meV per atom

Cell lengths 5.5826, 5.5826, 5.5826 Å; angles 90.00, 90.00, 90.00 degrees
Fractional coordinates of all 5 atoms:
1 La 0.0000 0.0000 0.5000
2 La 0.0000 0.5000 0.0000
3 La 0.5000 0.0000 0.0000
4 As 0.0000 0.0000 0.0000
5 Au 0.5000 0.5000 0.5000

=====

Entry 11:
Compound: Mn2CoOs
Source: Alexandria
Functional: meta-GGA SCAN
Structure: PBEsol geometry

Values from the calculation:
**SG**: P4/mmm
**Volume**: 45 Å³/cell
**E**: -31.378 eV/atom
**Formation enthalpy at 0 K**: 46 meV per atom

Cell lengths 3.5596, 3.5596, 3.5469 Å; angles 90.00, 90.00, 90.00 degrees
Fractional coordinates of all 4 atoms:
1 Mn 0.0000 0.5000 0.0000
2 Mn 0.5000 0.0000 0.0000
3 Co 0.0000 0.0000 0.5000
4 Os 0.5000 0.5000 0.5000

=====

Entry 12:
Compound: YSiRh3
Source: Alexandria
Functional: meta-GGA SCAN
Structure: PBEsol geometry

Values from the calculation:
**E_form (uncorrected)**: -0.78 eV/atom
**SG**: Pm-3m
**Volume**: 85 Å³/cell
**E**: -28.613 eV/atom

Cell lengths 4.4026, 4.4026, 4.4026 Å; angles 90.00, 90.00, 90.00 degrees
Fractional coordinates of all 5 atoms:
1 Y 0.0000 0.0000 0.0000
2 Si 0.5000 0.5000 0.5000
3 Rh 0.0000 0.5000 0.5000
4 Rh 0.5000 0.0000 0.5000
5 Rh 0.5000 0.5000 0.0000

=====

Entry 13:
Compound: WSeSN2
Source: Alexandria
Functional: meta-GGA SCAN
Structure: PBEsol geometry

Values from the calculation:
**E_form (uncorrected)**: 0.56 eV/atom
**SG**: P4/mmm
**Volume**: 75 Å³/cell
**E**: -23.035 eV/atom

Cell lengths 3.8583, 3.8583, 5.0416 Å; angles 90.00, 90.00, 90.00 degrees
Fractional coordinates of all 5 atoms:
1 W 0.0000 0.0000 0.0000
2 Se 0.5000 0.5000 0.5000
3 S 0.0000 0.0000 0.5000
4 N 0.0000 0.5000 0.0000
5 N 0.5000 0.0000 0.0000

=====

Entry 14:
Compound: Mg3CoOs
Source: Alexandria
Functional: meta-GGA SCAN
Structure: PBEsol geometry

Values from the calculation:
**SG**: Pm-3m
**Volume**: 116 Å³/cell
**E**: -19.787 eV/atom
**Formation enthalpy at 0 K**: 1034 meV per atom

Cell lengths 4.8746, 4.8746, 4.8746 Å; angles 90.00, 90.00, 90.00 degrees
Fractional coordinates of all 5 atoms:
1 Mg 0.0000 0.0000 0.5000
2 Mg 0.0000 0.5000 0.0000
3 Mg 0.5000 0.0000 0.0000
4 Co 0.5000 0.5000 0.5000
5 Os 0.0000 0.0000 0.0000

=====

Entry 15:
Compound: Ce
Source: Alexandria
Functional: meta-GGA SCAN
Structure: PBEsol geometry

Values from the calculation:
**SG**: P6/mmm
**Volume**: 71 Å³/cell
**Energy relative to the lowest polymorph listed for this composition**: 140 meV per atom
**E**: -44.424 eV/atom
**Formation enthalpy at 0 K**: 140 meV per atom

Cell lengths 5.1884, 5.1884, 3.0410 Å; angles 90.00, 90.00, 120.00 degrees
Fractional coordinates of all 3 atoms:
1 Ce 0.0000 0.0000 0.0000
2 Ce 0.3333 0.6667 0.5000
3 Ce 0.6667 0.3333 0.5000

=====

Entry 16:
Compound: Pm3Sm
Source: Alexandria
Functional: meta-GGA SCAN
Structure: PBEsol geometry

Values from the calculation:
**SG**: I4/mmm
**Volume**: 256 Å³/cell
**Energy relative to the lowest polymorph listed for this composition**: 0 meV per atom
**E**: -44.089 eV/atom
**Formation enthalpy at 0 K**: 11 meV per atom

Cell lengths 5.0384, 5.0384, 10.0677 Å; angles 90.00, 90.00, 90.00 degrees
Fractional coordinates of all 8 atoms:
1 Pm 0.0000 0.0000 0.0000
2 Pm 0.0000 0.5000 0.2500
3 Pm 0.0000 0.5000 0.7500
4 Pm 0.5000 0.0000 0.2500
5 Pm 0.5000 0.0000 0.7500
6 Pm 0.5000 0.5000 0.5000
7 Sm 0.0000 0.0000 0.5000
8 Sm 0.5000 0.5000 0.0000

=====

Entry 17:
Compound: Y2Si2Ge
Source: Alexandria
Functional: meta-GGA SCAN
Structure: PBEsol geometry

Values from the calculation:
**E_form (uncorrected)**: -0.70 eV/atom
**SG**: P4/mbm
**Volume**: 202 Å³/cell
**Energy relative to the lowest polymorph listed for this composition**: 0 meV per atom
**E**: -19.660 eV/atom

Cell lengths 6.9876, 6.9876, 4.1380 Å; angles 90.00, 90.00, 90.00 degrees
Fractional coordinates of all 10 atoms:
1 Y 0.1797 0.3203 0.0000
2 Y 0.3203 0.8203 0.0000
3 Y 0.6797 0.1797 0.0000
4 Y 0.8203 0.6797 0.0000
5 Si 0.1196 0.6196 0.5000
6 Si 0.3804 0.1196 0.5000
7 Si 0.6196 0.8804 0.5000
8 Si 0.8804 0.3804 0.5000
9 Ge 0.0000 0.0000 0.5000
10 Ge 0.5000 0.5000 0.5000

=====

Entry 18:
Compound: K2Ba5Si12O30
Source: Alexandria
Functional: meta-GGA SCAN
Structure: PBEsol geometry

Values from the calculation:
**E_form (uncorrected)**: -3.11 eV/atom
**SG**: C2
**Volume**: 766 Å³/cell
**E**: -13.750 eV/atom

Cell lengths 12.5856, 12.5856, 8.2560 Å; angles 92.14, 92.14, 35.87 degrees
Fractional coordinates of all 49 atoms:
1 K 0.0549 0.0549 0.2515
2 K 0.9451 0.9451 0.7485
3 Ba 0.1971 0.1970 0.9953
4 Ba 0.3522 0.3529 0.7625
5 Ba 0.5003 0.4997 0.5000
6 Ba 0.6471 0.6478 0.2375
7 Ba 0.8030 0.8029 0.0047
8 Si 0.0642 0.4822 0.3221
9 Si 0.1027 0.6969 0.3889
10 Si 0.2351 0.6443 0.0522
11 Si 0.3031 0.8973 0.6111
12 Si 0.3557 0.7649 0.9478
13 Si 0.4829 0.0630 0.3209
14 Si 0.5178 0.9358 0.6779
15 Si 0.6442 0.2351 0.0521
16 Si 0.6972 0.1022 0.3891
17 Si 0.7649 0.3558 0.9479
18 Si 0.8978 0.3028 0.6109
19 Si 0.9370 0.5171 0.6791
20 O 0.0023 0.4995 0.5016
21 O 0.0414 0.6303 0.3109
22 O 0.0527 0.4803 0.8215
23 O 0.0807 0.0805 0.6006
24 O 0.0964 0.6802 0.9580
25 O 0.2084 0.6138 0.5582
26 O 0.2122 0.7878 0.0000
27 O 0.2312 0.6511 0.2531
28 O 0.2806 0.2796 0.3031
29 O 0.3198 0.9036 0.0420
30 O 0.3489 0.7688 0.7469
31 O 0.3697 0.9586 0.6891
32 O 0.3862 0.7916 0.4418
33 O 0.4410 0.4411 0.9991
34 O 0.4805 0.0530 0.8184
35 O 0.5005 0.9977 0.4984
36 O 0.5197 0.9473 0.1785
37 O 0.5589 0.5590 0.0009
38 O 0.6140 0.2080 0.5582
39 O 0.6313 0.0399 0.3120
40 O 0.6510 0.2308 0.2530
41 O 0.6799 0.0965 0.9578
42 O 0.7204 0.7194 0.6969
43 O 0.7692 0.3490 0.7470
44 O 0.7875 0.2125 0.0000
45 O 0.7920 0.3860 0.4418
46 O 0.9035 0.3201 0.0422
47 O 0.9195 0.9193 0.3994
48 O 0.9470 0.5195 0.1816
49 O 0.9601 0.3687 0.6880

=====

Entry 19:
Compound: CdMoAs2
Source: Alexandria
Functional: meta-GGA SCAN
Structure: PBEsol geometry

Values from the calculation:
**SG**: Imm2
**Volume**: 151 Å³/cell
**E**: -26.360 eV/atom
**Formation enthalpy at 0 K**: 61 meV per atom

Cell lengths 3.1919, 3.5852, 13.1958 Å; angles 90.00, 90.00, 90.00 degrees
Fractional coordinates of all 8 atoms:
1 Cd 0.0000 0.0000 0.0000
2 Cd 0.5000 0.5000 0.5000
3 Mo 0.0000 0.5000 0.7339
4 Mo 0.5000 0.0000 0.2339
5 As 0.0000 0.0000 0.3802
6 As 0.0000 0.5000 0.1656
7 As 0.5000 0.0000 0.6656
8 As 0.5000 0.5000 0.8802

=====

Entry 20:
Compound: Li3Ti3VO8
Source: Alexandria
Functional: meta-GGA SCAN
Structure: PBEsol geometry

Values from the calculation:
**E_form (uncorrected)**: -2.85 eV/atom
**SG**: P2_1/m
**Volume**: 283 Å³/cell
**Energy relative to the lowest polymorph listed for this composition**: 16 meV per atom
**E**: -11.028 eV/atom

Cell lengths 5.9354, 5.7651, 8.2744 Å; angles 90.00, 92.37, 90.00 degrees
Fractional coordinates of all 30 atoms:
1 Li 0.0000 0.0000 0.0000
2 Li 0.0000 0.5000 0.0000
3 Li 0.2503 0.2500 0.2504
4 Li 0.5000 0.0000 0.5000
5 Li 0.5000 0.5000 0.5000
6 Li 0.7497 0.7500 0.7496
7 Ti 0.0000 0.0000 0.5000
8 Ti 0.0000 0.5000 0.5000
9 Ti 0.2401 0.2500 0.7441
10 Ti 0.5000 0.0000 0.0000
11 Ti 0.5000 0.5000 0.0000
12 Ti 0.7599 0.7500 0.2559
13 V 0.2464 0.7500 0.7487
14 V 0.7536 0.2500 0.2513
15 O 0.0134 0.5036 0.7463
16 O 0.0134 0.9964 0.7463
17 O 0.2373 0.7500 0.5101
18 O 0.2454 0.2500 0.5020
19 O 0.2610 0.2500 0.9945
20 O 0.2647 0.7500 0.9895
21 O 0.4795 0.5027 0.7597
22 O 0.4795 0.9973 0.7597
23 O 0.5205 0.0027 0.2403
24 O 0.5205 0.4973 0.2403
25 O 0.7353 0.2500 0.0105
26 O 0.7390 0.7500 0.0055
27 O 0.7546 0.7500 0.4980
28 O 0.7627 0.2500 0.4899
29 O 0.9866 0.0036 0.2537
30 O 0.9866 0.4964 0.2537